Record 1
VASP calculation (PBE) on an optimized crystal structure of Li2CdGeH. Values from VASP.

Calculated values
E above lowest polymorph	0	meV per atom

```
&SYSTEM
  ibrav = 0, nat = 5, ntyp = 4
/
ATOMIC_SPECIES
Cd 112.41 Cd.upf
H 1.01 H.upf
Ge 72.64 Ge.upf
Li 6.94 Li.upf
CELL_PARAMETERS angstrom
4.124 0.000 0.000
0.000 4.124 0.000
0.000 0.000 4.235
ATOMIC_POSITIONS crystal
Cd 0.000 0.000 0.500
H 0.000 0.000 0.000
Ge 0.500 0.500 0.500
Li 0.500 0.000 0.000
Li 0.000 0.500 0.000
```



Record 2
VASP calculation (PBE) on an optimized crystal structure of HoZrCo10. Values from VASP.

```
&SYSTEM
  ibrav = 0, nat = 12, ntyp = 3
/
ATOMIC_SPECIES
Co 58.93 Co.upf
Zr 91.22 Zr.upf
Ho 164.93 Ho.upf
CELL_PARAMETERS angstrom
3.959 0.000 0.000
0.000 4.831 0.000
0.000 0.000 8.374
ATOMIC_POSITIONS crystal
Co 0.500 0.000 0.500
Co 0.500 0.748 0.254
Zr 0.000 0.500 0.500
Co 0.000 0.500 0.176
Ho 0.000 0.000 0.000
Co 0.000 0.000 0.341
Co 0.000 0.500 0.824
Co 0.000 0.000 0.659
Co 0.500 0.252 0.746
Co 0.500 0.500 0.000
Co 0.500 0.252 0.254
Co 0.500 0.748 0.746
```



Record 3
VASP calculation (PBE) on an optimized crystal structure of Hf4FeTc3. Values from VASP.

```
&SYSTEM
  ibrav = 0, nat = 8, ntyp = 3
/
ATOMIC_SPECIES
Fe 55.84 Fe.upf
Tc 98.00 Tc.upf
Hf 178.49 Hf.upf
CELL_PARAMETERS angstrom
3.234 0.000 0.000
0.000 3.234 0.000
0.000 0.000 12.970
ATOMIC_POSITIONS crystal
Fe 0.500 0.500 0.000
Tc 0.500 0.500 0.246
Hf 0.000 0.000 0.373
Tc 0.500 0.500 0.754
Tc 0.500 0.500 0.500
Hf 0.000 0.000 0.879
Hf 0.000 0.000 0.627
Hf 0.000 0.000 0.121
```



no.,electronic total energy (eV per formula unit),Fermi-level density of states (states/eV/cell)
1,-13.4,2.1
2,-85.6,17.0
3,-82.8,8.9